1.
A plane-wave DFT calculation with PBE-GGA was carried out for a geometry-optimized Ho2Mg2Hg3 structure.

a b c (Å): 13.643 13.643 3.614
angles (deg): 90.00 90.00 164.98
Element x y z (fractional)
Ho: 0.071 0.929 0.000
Ho: 0.929 0.071 0.000
Mg: 0.203 0.797 0.000
Mg: 0.797 0.203 0.000
Hg: 0.359 0.641 0.500
Hg: 0.500 0.500 0.500
Hg: 0.641 0.359 0.500

Summary:
For the uncorrected energy, the calculation gives -2.182 eV/atom. Its space group is Cmmm. The value obtained for the calculated formation energy is -27.9 kJ per mole of atoms.

2.
A plane-wave DFT calculation with PBE-GGA was carried out for a geometry-optimized HoMgHg2 structure.

a b c (Å): 5.059 5.059 5.059
angles (deg): 60.00 60.00 60.00
Element x y z (fractional)
Ho: 0.000 0.000 0.000
Mg: 0.500 0.500 0.500
Hg: 0.250 0.250 0.250
Hg: 0.750 0.750 0.750

Summary:
For the uncorrected energy, the calculation gives -2.143 eV/atom. Its space group is Fm-3m. The value obtained for the calculated formation energy is -43.3 kJ per mole of atoms.

3.
A plane-wave DFT calculation with PBE-GGA was carried out for a geometry-optimized HoMg2Hg structure.

a b c (Å): 11.354 11.354 11.354
angles (deg): 16.55 16.55 16.55
Element x y z (fractional)
Ho: 0.000 0.000 0.000
Mg: 0.096 0.096 0.096
Mg: 0.904 0.904 0.904
Hg: 0.500 0.500 0.500

Summary:
For the uncorrected energy, the calculation gives -1.901 eV/atom. Its space group is R-3m. The value obtained for the calculated formation energy is 11.2 kJ per mole of atoms.

4.
A plane-wave DFT calculation with PBE-GGA was carried out for a geometry-optimized NaHoMgHg structure.

a b c (Å): 5.103 5.103 5.103
angles (deg): 60.00 60.00 60.00
Element x y z (fractional)
Na: 0.000 0.000 0.000
Ho: 0.250 0.250 0.250
Mg: 0.750 0.750 0.750
Hg: 0.500 0.500 0.500

Summary:
For the uncorrected energy, the calculation gives -2.088 eV/atom. Its space group is F-43m. The value obtained for the calculated formation energy is -13.5 kJ per mole of atoms.

5.
A plane-wave DFT calculation with PBE-GGA was carried out for a geometry-optimized NdHo2MgHg4 structure.

a b c (Å): 9.341 9.341 9.341
angles (deg): 31.85 31.85 31.85
Element x y z (fractional)
Nd: 0.000 0.000 0.000
Ho: 0.243 0.243 0.243
Ho: 0.757 0.757 0.757
Mg: 0.500 0.500 0.500
Hg: 0.126 0.126 0.126
Hg: 0.381 0.381 0.381
Hg: 0.619 0.619 0.619
Hg: 0.874 0.874 0.874

Summary:
For the uncorrected energy, the calculation gives -2.533 eV/atom. Its space group is R-3m. The value obtained for the calculated formation energy is -42.7 kJ per mole of atoms.

6.
A plane-wave DFT calculation with PBE-GGA was carried out for a geometry-optimized NdHoMgHg structure.

a b c (Å): 5.367 5.367 5.367
angles (deg): 60.00 60.00 60.00
Element x y z (fractional)
Nd: 0.000 0.000 0.000
Ho: 0.500 0.500 0.500
Mg: 0.250 0.250 0.250
Hg: 0.750 0.750 0.750

Summary:
For the uncorrected energy, the calculation gives -3.068 eV/atom. Its space group is F-43m. The value obtained for the calculated formation energy is -24.8 kJ per mole of atoms.

7.
A plane-wave DFT calculation with PBE-GGA was carried out for a geometry-optimized NdHoMgHg structure.

a b c (Å): 3.788 3.788 7.615
angles (deg): 90.00 90.00 90.00
Element x y z (fractional)
Nd: 0.000 0.000 0.000
Ho: 0.000 0.000 0.494
Mg: 0.500 0.500 0.736
Hg: 0.500 0.500 0.271

Summary:
For the uncorrected energy, the calculation gives -3.090 eV/atom. Its space group is P4mm. The value obtained for the calculated formation energy is -27.0 kJ per mole of atoms.

8.
A plane-wave DFT calculation with PBE-GGA was carried out for a geometry-optimized NdHoMg2Hg4 structure.

a b c (Å): 8.901 8.901 8.901
angles (deg): 33.35 33.35 33.35
Element x y z (fractional)
Nd: 0.000 0.000 0.000
Ho: 0.500 0.500 0.500
Mg: 0.250 0.250 0.250
Mg: 0.750 0.750 0.750
Hg: 0.127 0.127 0.127
Hg: 0.378 0.378 0.378
Hg: 0.622 0.622 0.622
Hg: 0.873 0.873 0.873

Summary:
For the uncorrected energy, the calculation gives -2.180 eV/atom. Its space group is R-3m. The value obtained for the calculated formation energy is -44.6 kJ per mole of atoms.